P.
Compound: TlFeMo2
Source: the Alexandria database
Functional: GGA-PBE
Structure: relaxed

Cell: 3.8912 3.8912 4.2970 Å, 90.00 90.00 90.00°
Closest atoms and distances in Å follow each position.
Fractional positions:
Tl: 0.0000 0.0000 0.0000  4 Fe 2.75, 8 Mo 2.90
Fe: 0.5000 0.5000 0.0000  4 Tl 2.75, 8 Mo 2.90
Mo: 0.0000 0.5000 0.5000  4 Mo 2.75, 4 Tl 2.90, 4 Fe 2.90
Mo: 0.5000 0.0000 0.5000  4 Mo 2.75, 4 Tl 2.90, 4 Fe 2.90

Its volume is 65.06 Å³ per cell. Its mass density is 11539 kg/m3. As for the symmetry: P4/mmm (123).

***

Q.
Compound: TlFeMo2
Source: the Alexandria database
Functional: GGA-PBE
Structure: relaxed

Cell: 4.9205 4.9205 4.9205 Å, 131.52 131.52 70.98°
Closest atoms and distances in Å follow each position.
Fractional positions:
Tl: 0.0000 0.0000 0.0000  8 Mo 2.84-2.86, 4 Fe 2.84
Fe: 0.2500 0.7500 0.5000  8 Mo 2.84-2.86, 4 Tl 2.84
Mo: 0.5000 0.5000 0.0000  4 Fe 2.84, 4 Mo 2.84, 4 Tl 2.86
Mo: 0.7500 0.2500 0.5000  4 Mo 2.84, 4 Tl 2.84, 4 Fe 2.86

Its volume is 65.39 Å³ per cell. Its mass density is 11481 kg/m3. As for the symmetry: I-4m2 (119).

***

R.
Compound: TlFeMo2
Source: the Alexandria database
Functional: GGA-PBE
Structure: relaxed

Cell: 5.0013 5.0013 2.9009 Å, 90.00 90.00 114.35°
Closest atoms and distances in Å follow each position.
Fractional positions:
Tl: 0.0000 0.0000 0.0000  2 Fe 2.71, 8 Mo 2.89, 2 Tl 2.90
Fe: 0.5000 0.5000 0.0000  2 Tl 2.71, 8 Mo 2.89, 2 Fe 2.90
Mo: 0.0000 0.5000 0.5000  4 Mo 2.71-2.90, 4 Tl 2.89, 4 Fe 2.89
Mo: 0.5000 0.0000 0.5000  4 Mo 2.71-2.90, 4 Tl 2.89, 4 Fe 2.89

Its volume is 66.11 Å³ per cell. Its mass density is 11357 kg/m3. As for the symmetry: Cmmm (65).

***

Most stable: P

***

P.
Compound: TlFeMo2
Source: the Alexandria database
Functional: GGA-PBE
Structure: relaxed

Cell: 2.8286 4.3423 5.6662 Å, 90.00 102.29 90.00°
Closest atoms and distances in Å follow each position.
Fractional positions:
Tl: 0.0000 0.0000 0.0000  2 Fe 2.77, 2 Tl 2.83, 6 Mo 2.89-3.06
Fe: 0.8841 0.5000 0.2853  3 Mo 2.51-2.68, 2 Tl 2.77
Mo: 0.3704 0.5000 0.7103  1 Fe 2.51, 2 Mo 2.65
Mo: 0.5819 0.0000 0.4866  4 Mo 2.65-2.83, 2 Fe 2.68, 2 Tl 2.89-2.90

Its volume is 68.00 Å³ per cell. Its mass density is 11040 kg/m3. As for the symmetry: Pm (6).

***

Q.
Compound: TlFeMo2
Source: the Alexandria database
Functional: GGA-PBE
Structure: relaxed

Cell: 2.8693 2.8693 7.8940 Å, 90.00 90.00 90.00°
Closest atoms and distances in Å follow each position.
Fractional positions:
Tl: 0.0000 0.0000 0.0000  4 Tl 2.87, 8 Mo 3.09
Fe: 0.0000 0.0000 0.5000  8 Mo 2.59, 4 Fe 2.87
Mo: 0.5000 0.5000 0.2951  4 Fe 2.59, 4 Mo 2.87
Mo: 0.5000 0.5000 0.7049  4 Fe 2.59, 4 Mo 2.87

Its volume is 64.99 Å³ per cell. Its mass density is 11552 kg/m3. As for the symmetry: P4/mmm (123).

***

R.
Compound: TlFeMo2
Source: the Alexandria database
Functional: GGA-PBE
Structure: relaxed

Cell: 4.5347 4.5347 4.5347 Å, 60.00 60.00 60.00°
Closest atoms and distances in Å follow each position.
Fractional positions:
Tl: 0.0000 0.0000 0.0000  4 Fe 2.78, 4 Mo 2.78
Fe: 0.7500 0.7500 0.7500  4 Mo 2.78, 4 Tl 2.78
Mo: 0.2500 0.2500 0.2500  4 Mo 2.78, 4 Tl 2.78
Mo: 0.5000 0.5000 0.5000  4 Mo 2.78, 4 Fe 2.78

Its volume is 65.94 Å³ per cell. Its mass density is 11386 kg/m3. As for the symmetry: F-43m (216).

***

S.
Compound: TlFeMo2
Source: the Alexandria database
Functional: GGA-PBE
Structure: relaxed

Cell: 5.7856 5.7856 5.7856 Å, 101.89 101.89 126.00°
Closest atoms and distances in Å follow each position.
Fractional positions:
Tl: 0.0000 0.0000 0.0000  2 Fe 2.63
Tl: 0.7500 0.2500 0.5000  2 Fe 2.63
Fe: 0.2500 0.7500 0.5000  4 Mo 2.35, 2 Tl 2.63
Fe: 0.5000 0.5000 0.0000  4 Mo 2.35, 2 Tl 2.63
Mo: 0.1921 0.6250 0.0671  2 Fe 2.35
Mo: 0.3750 0.4421 0.5671  2 Fe 2.35
Mo: 0.5579 0.1250 0.9329  2 Fe 2.35
Mo: 0.8750 0.8079 0.4329  2 Fe 2.35

Its volume is 139.60 Å³ per cell. Its mass density is 10756 kg/m3. As for the symmetry: I-42d (122).

***

Most stable: Q